An optimized crystal structure of CsPb2Cl5. Source: Alexandria via LeMat-Bulk, functional PBE-GGA.

abc: 4.4352 7.4698 15.6155
angles: 90.00 90.00 90.00
Space group Immm (No. 71)
Symmetry-distinct sites (fractional):
1 Cs 0.0000 0.0000 0.0000 x2
2 Pb 0.0000 0.5000 0.1802 x4
3 Cl 0.0000 0.2604 0.3447 x8
4 Cl 0.0000 0.5000 0.0000 x2

For the formation energy from raw total energies, the calculation gives -1.380 eV/atom.

***

An optimized crystal structure of CsPbCl3. Source: Alexandria via LeMat-Bulk, functional PBE-GGA.

abc: 9.5767 7.4650 10.5248
angles: 90.00 97.40 90.00
Space group P2_1/c (No. 14)
Symmetry-distinct sites (fractional):
1 Cs 0.1190 0.2216 0.1732 x4
2 Pb 0.4024 0.7407 0.5740 x4
3 Cl 0.1189 0.6958 0.1005 x4
4 Cl 0.3143 0.0734 0.9403 x4
5 Cl 0.4188 0.5668 0.8234 x4

For the formation energy from raw total energies, the calculation gives -1.514 eV/atom.

***

An optimized crystal structure of Cs2Pb2Cl5. Source: Alexandria via LeMat-Bulk, functional PBE-GGA.

abc: 9.5992 8.1965 8.1981
angles: 90.00 90.00 90.00
Space group Amm2 (No. 38)
Symmetry-distinct sites (fractional):
1 Cs 0.0000 0.0000 0.0000 x2
2 Cs 0.5000 0.0000 0.9996 x2
3 Pb 0.1978 0.0000 0.5008 x4
4 Cl 0.2192 0.2499 0.2506 x8
5 Cl 0.5000 0.0000 0.5006 x2

For the formation energy from raw total energies, the calculation gives -1.388 eV/atom.

***

What total magnetization values result from the calculations? In sequence: 0.000 0.000 0.000 μB per formula unit.
What total energy values result from the calculations? In sequence: -57.08 -70.69 -61.69 eV per cell.